Record 1
Density functional theory data (PBE) for crystalline Ac8Tl3NiI4 at its relaxed geometry.

It has space group C2/m (No. 12), with a = 16.602 Å, b = 9.496 Å, c = 9.811 Å, α = 90.00°, β = 124.63° and γ = 90.00°. The inequivalent atoms are Ac at (0.008, 0.227, 0.298), Ac at (0.223, 0.000, 0.708), Ac at (0.245, 0.500, 0.736), Tl at (0.000, 0.500, 0.500), Tl at (0.250, 0.250, 0.500), Ni at (0.000, 0.000, 0.500), I at (0.000, 0.000, 0.000), I at (0.000, 0.500, 0.000) and I at (0.250, 0.250, 0.000).

Its formation energy from raw total energies is -0.6313 eV per atom. Its calculated total energy is -3.878 eV per atom. For the density of states at the Fermi level, the calculation gives 34.26 states/eV per cell. As for the crystal system: monoclinic.

Record 2
Density functional theory data (PBE) for crystalline AcYNiI at its relaxed geometry.

It has space group Cm (No. 8), with a = 7.234 Å, b = 4.176 Å, c = 8.587 Å, α = 90.00°, β = 106.23° and γ = 90.00°. The inequivalent atoms are Ac at (0.000, 0.000, 0.000), Y at (0.213, 0.000, 0.636), Ni at (0.102, 0.500, 0.804) and I at (0.282, 0.500, 0.346).

Its formation energy from raw total energies is -0.6610 eV per atom. Its calculated total energy is -5.137 eV per atom. For the density of states at the Fermi level, the calculation gives 7.57 states/eV per cell. As for the crystal system: monoclinic.

Record 3
Density functional theory data (PBE) for crystalline Ac6ZnNi2I3 at its relaxed geometry.

It has space group C2/m (No. 12), with a = 7.748 Å, b = 13.335 Å, c = 8.874 Å, α = 90.00°, β = 106.88° and γ = 90.00°. The inequivalent atoms are Ac at (0.209, 0.000, 0.187), Ac at (0.241, 0.323, 0.190), Zn at (0.000, 0.500, 0.000), Ni at (0.000, 0.167, 0.000), I at (0.000, 0.000, 0.500) and I at (0.000, 0.339, 0.500).

Its formation energy from raw total energies is -0.6477 eV per atom. Its calculated total energy is -4.159 eV per atom. For the density of states at the Fermi level, the calculation gives 22.64 states/eV per cell. As for the crystal system: monoclinic.

Record 4
Density functional theory data (PBE) for crystalline Ac8ZnNi3I4 at its relaxed geometry.

It has space group R-3m (No. 166, hexagonal axes), with a = 8.8819 Å, b = 8.8819 Å, c = 25.6232 Å, α = 90.00°, β = 90.00° and γ = 120.00°. The inequivalent atoms are Ac at (0.0000, 0.0000, 0.2292), Ac at (0.0158, 0.5079, 0.7717), Zn at (0.0000, 0.0000, 0.5000), Ni at (0.0000, 0.5000, 0.5000), I at (0.0000, 0.0000, 0.0000) and I at (0.0000, 0.5000, 0.0000).

Its formation energy from raw total energies is -0.6594 eV per atom. Its calculated total energy is -4.265 eV per atom. For the density of states at the Fermi level, the calculation gives 33.56 states/eV per cell. As for the crystal system: trigonal.

Record 5
Density functional theory data (PBE) for crystalline AcNpI2 at its relaxed geometry.

It has space group R-3m (No. 166, hexagonal axes), with a = 3.9386 Å, b = 3.9386 Å, c = 34.3648 Å, α = 90.00°, β = 90.00° and γ = 120.00°. The inequivalent atoms are Ac at (0.0000, 0.0000, 0.0000), Np at (0.0000, 0.0000, 0.5000) and I at (0.0000, 0.0000, 0.4071).

Its formation energy from raw total energies is -0.3096 eV per atom. Its calculated total energy is -5.347 eV per atom. For the density of states at the Fermi level, the calculation gives 36.20 states/eV per cell. As for the crystal system: trigonal.

Record 6
Density functional theory data (PBE) for crystalline Ac2IO at its relaxed geometry.

It has space group R-3m (No. 166, hexagonal axes), with a = 3.9786 Å, b = 3.9786 Å, c = 24.6825 Å, α = 90.00°, β = 90.00° and γ = 120.00°. The inequivalent atoms are Ac at (0.0000, 0.0000, 0.2256), I at (0.0000, 0.0000, 0.0000) and O at (0.0000, 0.0000, 0.5000).

Its formation energy from raw total energies is -1.6814 eV per atom. Its calculated total energy is -5.363 eV per atom. The energy above the lowest structure with this stoichiometry comes out at 0.0000 eV per atom. For the density of states at the Fermi level, the calculation gives 8.45 states/eV per cell. As for the crystal system: trigonal.

Please write out number 6 again, unchanged.
Density functional theory data (PBE) for crystalline Ac2IO at its relaxed geometry.

It has space group R-3m (No. 166, hexagonal axes), with a = 3.9786 Å, b = 3.9786 Å, c = 24.6825 Å, α = 90.00°, β = 90.00° and γ = 120.00°. The inequivalent atoms are Ac at (0.0000, 0.0000, 0.2256), I at (0.0000, 0.0000, 0.0000) and O at (0.0000, 0.0000, 0.5000).

Its formation energy from raw total energies is -1.6814 eV per atom. Its calculated total energy is -5.363 eV per atom. The energy above the lowest structure with this stoichiometry comes out at 0.0000 eV per atom. For the density of states at the Fermi level, the calculation gives 8.45 states/eV per cell. As for the crystal system: trigonal.

Among the records above, which one has the lowest formation energy from raw total energies?
Ac2IO

What did the sixth record say?
Density functional theory data (PBE) for crystalline Ac2IO at its relaxed geometry.

It has space group R-3m (No. 166, hexagonal axes), with a = 3.9786 Å, b = 3.9786 Å, c = 24.6825 Å, α = 90.00°, β = 90.00° and γ = 120.00°. The inequivalent atoms are Ac at (0.0000, 0.0000, 0.2256), I at (0.0000, 0.0000, 0.0000) and O at (0.0000, 0.0000, 0.5000).

Its formation energy from raw total energies is -1.6814 eV per atom. Its calculated total energy is -5.363 eV per atom. The energy above the lowest structure with this stoichiometry comes out at 0.0000 eV per atom. For the density of states at the Fermi level, the calculation gives 8.45 states/eV per cell. As for the crystal system: trigonal.

Which formula does entry 6 have?
Ac2IO